This record from Alexandria via LeMat-Bulk describes a geometry-optimized TmTaO4 structure. The functional is PBE-GGA.

## Properties
The electronic total energy comes out at -9.31 eV per atom. As for the crystal system: monoclinic. For the density of states at the Fermi level, the calculation gives 0.00 states/eV per cell. For the uncorrected formation energy, the calculation gives -19.7 eV per formula unit. The calculated volume comes out at 12.2 Å³/atom.

The structure in POSCAR format:
```
TmTaO4
1.0
5.102 0.000 0.000
0.000 5.485 0.000
-0.564 0.000 5.252
Tm Ta O
2 2 8
direct
0.000 0.231 0.250
0.000 0.769 0.750
0.500 0.305 0.750
0.500 0.695 0.250
0.247 0.084 0.596
0.247 0.916 0.096
0.267 0.433 0.000
0.267 0.567 0.500
0.733 0.433 0.500
0.733 0.567 0.000
0.753 0.084 0.904
0.753 0.916 0.404
```